# BaMo3W PBE-GGA optimized geometry
data_BaMo3W
_chemical_formula_sum 'Ba1 Mo3 W1'
_space_group_name_H-M_alt 'P m -3 m'
_space_group_IT_number 221
_space_group_name_Hall '-P 4 2 3'
_cell_length_a 4.950
_cell_length_b 4.950
_cell_length_c 4.950
_cell_angle_alpha 90.00
_cell_angle_beta 90.00
_cell_angle_gamma 90.00
loop_
_atom_site_label
_atom_site_fract_x
_atom_site_fract_y
_atom_site_fract_z
Ba1 0.000 0.000 0.000
Mo1 0.000 0.500 0.500
W1 0.500 0.500 0.500
# * size of the total moment: 0.00 μB/f.u.
# * energy relative to the lowest polymorph listed for this composition: 0.0000 eV/atom
# * formation enthalpy at 0 K: 1.52 eV/atom

# Nd8CdSn2 PBE-GGA optimized geometry
data_Nd8CdSn2
_chemical_formula_sum 'Nd16 Cd2 Sn4'
_space_group_name_H-M_alt 'C 1 2/m 1'
_space_group_IT_number 12
_cell_length_a 19.827
_cell_length_b 5.302
_cell_length_c 7.019
_cell_angle_alpha 90.00
_cell_angle_beta 105.32
_cell_angle_gamma 90.00
loop_
_space_group_symop_operation_xyz
'x,y,z'
'-x,-y,-z'
'-x,y,-z'
'x,-y,z'
'x+1/2,y+1/2,z'
'-x+1/2,-y+1/2,-z'
'-x+1/2,y+1/2,-z'
'x+1/2,-y+1/2,z'
loop_
_atom_site_label
_atom_site_fract_x
_atom_site_fract_y
_atom_site_fract_z
Nd1 0.015 0.000 0.268
Nd2 0.093 0.500 0.982
Nd3 0.158 0.500 0.494
Nd4 0.212 0.000 0.818
Cd1 0.000 0.500 0.500
Sn1 0.179 0.000 0.250
# * size of the total moment: 0.00 μB/f.u.
# * formation enthalpy at 0 K: -0.31 eV/atom

# YAl2Cu PBE-GGA optimized geometry
data_YAl2Cu
_chemical_formula_sum 'Y2 Al4 Cu2'
_space_group_name_H-M_alt 'I m m 2'
_space_group_IT_number 44
_cell_length_a 4.682
_cell_length_b 4.691
_cell_length_c 6.642
_cell_angle_alpha 90.00
_cell_angle_beta 90.00
_cell_angle_gamma 90.00
loop_
_space_group_symop_operation_xyz
'x,y,z'
'-x,-y,z'
'-x,y,z'
'x,-y,z'
'x+1/2,y+1/2,z+1/2'
'-x+1/2,-y+1/2,z+1/2'
'-x+1/2,y+1/2,z+1/2'
'x+1/2,-y+1/2,z+1/2'
loop_
_atom_site_label
_atom_site_fract_x
_atom_site_fract_y
_atom_site_fract_z
Y1 0.000 0.000 0.000
Al1 0.000 0.000 0.500
Al2 0.000 0.500 0.750
Cu1 0.000 0.500 0.249
# * size of the total moment: 0.00 μB/f.u.
# * formation enthalpy at 0 K: -0.23 eV/atom

Q: The highest formation enthalpy at 0 K belongs to which entry?
A: BaMo3W

Q: size of the total moment of number 1 (BaMo3W)?
A: 0.00 μB/f.u.